Compound: Pr2Sn2Pd3Au
Source: OQMD
Functional: PBE
Structure: optimized geometry

Cell lengths 4.6941, 4.6941, 9.3151 Å; angles 90.00, 90.00, 120.00 degrees
With the nearest neighbours (Å) after each atom.
Sites, in units of the cell vectors:
1 Pr 0.6667 0.3333 0.2536  5 Pd 3.02-3.15, 3 Au 3.08
2 Pr 0.0000 0.0000 0.7495  7 Pd 3.06-3.14, 1 Au 3.24
3 Sn 0.3333 0.6667 0.5081  6 Pd 2.79-2.83
4 Sn 0.3333 0.6667 0.9764  3 Pd 2.77, 3 Au 2.94
5 Pd 0.0000 0.0000 0.4208  3 Sn 2.83, 1 Au 3.01, 4 Pr 3.06-3.13, 3 Pd 3.08
6 Pd 0.6667 0.3333 0.5783  3 Sn 2.79, 1 Pr 3.02, 3 Pd 3.08
7 Pd 0.6667 0.3333 0.9158  3 Sn 2.77
8 Au 0.0000 0.0000 0.0975  3 Sn 2.94, 4 Pd 3.01-3.19, 4 Pr 3.08-3.24

Values from the calculation:
electronic total energy	-5.3380	eV/atom


Compound: Sn2Os
Source: OQMD
Functional: PBE
Structure: optimized geometry

Cell lengths 8.1228, 8.1228, 8.1228 Å; angles 60.00, 60.00, 60.00 degrees
With the nearest neighbours (Å) after each atom.
Sites, in units of the cell vectors:
1 Sn 0.3750 0.3750 0.8750  2 Os 2.49
2 Sn 0.8750 0.3750 0.3750  2 Os 2.49
3 Sn 0.3750 0.3750 0.3750  2 Os 2.49
4 Sn 0.3750 0.8750 0.3750  2 Os 2.49
5 Os 0.2500 0.2500 0.2500  4 Sn 2.49
6 Os 0.5000 0.5000 0.5000  4 Sn 2.49

Values from the calculation:
electronic total energy	-5.5038	eV/atom


Compound: BiSbAu
Source: OQMD
Functional: PBE
Structure: optimized geometry

Cell lengths 5.0148, 5.0148, 5.0148 Å; angles 60.00, 60.00, 60.00 degrees
With the nearest neighbours (Å) after each atom.
Sites, in units of the cell vectors:
1 Au 0.2500 0.2500 0.2500  4 Sb 3.07
2 Bi 0.7500 0.7500 0.7500  4 Sb 3.07
3 Sb 0.0000 0.0000 0.0000  4 Bi 3.07, 4 Au 3.07

Values from the calculation:
electronic total energy	-3.6104	eV/atom
energy relative to the lowest polymorph listed for this composition	16.1	kJ/mol of atoms


Compound: Th2Re2N7
Source: OQMD
Functional: PBE
Structure: optimized geometry

Cell lengths 6.1261, 6.1261, 5.0786 Å; angles 97.82, 97.82, 103.27 degrees
With the nearest neighbours (Å) after each atom.
Sites, in units of the cell vectors:
1 N 0.0000 0.0000 0.0000  2 Re 1.85
2 N 0.3868 0.3868 0.2357  1 Re 1.84
3 N 0.9096 0.5965 0.2851  1 Re 1.83
4 N 0.5965 0.9096 0.2851  1 Re 1.83
5 N 0.6132 0.6132 0.7643  1 Re 1.84
6 N 0.4035 0.0904 0.7149  1 Re 1.83
7 N 0.0904 0.4035 0.7149  1 Re 1.83
8 Th 0.3009 0.6991 0.5000  6 N 2.39-2.45
9 Th 0.6991 0.3009 0.5000  6 N 2.39-2.45
10 Re 0.2231 0.2231 0.9105  4 N 1.83-1.85
11 Re 0.7769 0.7769 0.0895  4 N 1.83-1.85

Values from the calculation:
electronic total energy	-9.6104	eV/atom


Compound: YNb
Source: OQMD
Functional: PBE
Structure: optimized geometry

Cell lengths 4.1819, 4.1819, 4.1819 Å; angles 60.00, 60.00, 60.00 degrees
With the nearest neighbours (Å) after each atom.
Sites, in units of the cell vectors:
1 Y 0.5000 0.5000 0.5000  6 Nb 2.96
2 Nb 0.0000 0.0000 0.0000  6 Y 2.96

Values from the calculation:
energy of formation from the pure elements	1.324	eV per atom
electronic total energy	-6.9560	eV/atom
energy relative to the lowest polymorph listed for this composition	80.4	kJ/mol of atoms


Compound: GaTc2Ge2
Source: OQMD
Functional: PBE
Structure: optimized geometry

Cell lengths 4.2100, 4.2100, 11.3756 Å; angles 90.00, 90.00, 120.00 degrees
With the nearest neighbours (Å) after each atom.
Sites, in units of the cell vectors:
1 Ga 0.0000 0.0000 0.7500  6 Tc 2.73, 6 Ge 3.05
2 Ga 0.0000 0.0000 0.2500  6 Tc 2.73, 6 Ge 3.05
3 Ge 0.6667 0.3333 0.5881  4 Tc 2.50-2.60
4 Ge 0.3333 0.6667 0.0881  4 Tc 2.50-2.60
5 Ge 0.6667 0.3333 0.9119  4 Tc 2.50-2.60
6 Ge 0.3333 0.6667 0.4119  4 Tc 2.50-2.60
7 Tc 0.6667 0.3333 0.3597  1 Tc 2.50, 4 Ge 2.50-2.60, 3 Ga 2.73
8 Tc 0.3333 0.6667 0.8597  1 Tc 2.50, 4 Ge 2.50-2.60, 3 Ga 2.73
9 Tc 0.3333 0.6667 0.6403  1 Tc 2.50, 4 Ge 2.50-2.60, 3 Ga 2.73
10 Tc 0.6667 0.3333 0.1403  1 Tc 2.50, 4 Ge 2.50-2.60, 3 Ga 2.73

Values from the calculation:
electronic total energy	-6.4124	eV/atom
energy relative to the lowest polymorph listed for this composition	26.8	kJ/mol of atoms


Compound: LiZrB4
Source: OQMD
Functional: PBE
Structure: optimized geometry

Cell lengths 3.1183, 3.1183, 6.9921 Å; angles 90.00, 90.00, 120.00 degrees
With the nearest neighbours (Å) after each atom.
Sites, in units of the cell vectors:
1 B 0.3333 0.6667 0.2503  3 B 1.80
2 B 0.6667 0.3333 0.2503  3 B 1.80
3 B 0.6667 0.3333 0.7497  3 B 1.80
4 B 0.3333 0.6667 0.7497  3 B 1.80
5 Li 0.0000 0.0000 0.0000  12 B 2.51
6 Zr 0.0000 0.0000 0.5000  12 B 2.51

Values from the calculation:
electronic total energy	-6.6171	eV/atom
energy relative to the lowest polymorph listed for this composition	2.7	kJ/mol of atoms


Compound: YZnInSe3
Source: OQMD
Functional: PBE
Structure: optimized geometry

Cell lengths 9.0078, 9.0078, 8.9941 Å; angles 103.79, 103.79, 26.58 degrees
With the nearest neighbours (Å) after each atom.
Sites, in units of the cell vectors:
1 Se 0.0000 0.0000 0.5000  4 Zn 2.82, 2 Y 2.94
2 Se 0.3387 0.3387 0.6355  3 Y 2.84-2.87, 1 Zn 3.05
3 Se 0.3335 0.3335 0.1954  1 Zn 2.52
4 Se 0.5000 0.5000 0.0000  2 Zn 2.63
5 Se 0.6613 0.6613 0.3645  3 Y 2.84-2.87, 1 Zn 3.05
6 Se 0.6665 0.6665 0.8046  1 Zn 2.52
7 Y 0.8273 0.8273 0.4107  6 Se 2.84-2.94
8 Y 0.1727 0.1727 0.5893  6 Se 2.84-2.94
9 Zn 0.5184 0.5184 0.7186  4 Se 2.52-2.82
10 Zn 0.4816 0.4816 0.2814  4 Se 2.52-2.82
11 In 0.8628 0.8628 0.9285  7 Se 3.12-3.35
12 In 0.1372 0.1372 0.0715  7 Se 3.12-3.35

Values from the calculation:
electronic total energy	-4.4324	eV/atom
energy relative to the lowest polymorph listed for this composition	12.9	kJ/mol of atoms